Below is a geometry-optimized Zr2FeW structure, with properties calculated at the PBE-GGA level.

```
Zr2FeW
1.0
-4.0155 -1.8167 1.3326
-0.0732 -3.3806 3.1253
-1.6030 0.8172 4.2383
Fe W Zr
1 1 2
Cartesian
-2.8459 -2.1900 4.3481 Fe
-4.2688 -3.2850 6.5221 W
0.0000 0.0000 0.0000 Zr
-1.4229 -1.0950 2.1740 Zr
```

Computed properties:
- Energy of formation: 0.96 eV/f.u.
- Space group: F-43m, No. 216
- Offset from the most stable computed form: 0.197 eV/atom



Below is a geometry-optimized HoMg3Tl3 structure, with properties calculated at the PBE-GGA level.

```
HoMg3Tl3
1.0
8.6186 0.0000 0.0000
4.3093 7.4639 0.0000
4.3093 2.4880 6.1937
Ho Mg Tl
2 6 6
Cartesian
4.3093 2.4880 0.0042 Ho
12.9279 7.4639 6.1895 Ho
10.0860 7.4303 4.0892 Mg
10.0105 2.4779 4.0892 Mg
5.7593 5.0195 4.0892 Mg
11.4779 4.9323 2.1046 Mg
7.2267 7.4739 2.1046 Mg
7.1512 2.5215 2.1046 Mg
5.6778 5.1020 1.1322 Tl
9.9799 2.3661 1.1322 Tl
10.1982 7.4598 1.1322 Tl
7.0390 2.4921 5.0616 Tl
7.2573 7.5858 5.0616 Tl
11.5594 4.8499 5.0616 Tl
```

Computed properties:
- Energy of formation: 0.00 eV/f.u.
- Space group: R-3, No. 148
- Offset from the most stable computed form: 0.000 eV/atom



Below is a geometry-optimized Ba2TbHfSe6 structure, with properties calculated at the PBE-GGA level.

```
Ba2TbHfSe6
1.0
-4.2422 5.2156 3.5820
-6.2868 -3.1048 -2.9249
-0.7683 -6.4915 8.5422
Ba Tb Hf Se
4 2 2 12
Cartesian
-7.0532 -1.3312 1.6852 Ba
-2.1168 -5.6047 5.6538 Ba
-7.4436 -4.6296 6.0256 Ba
-1.7389 -2.4116 1.4520 Ba
-4.0733 -1.4123 5.3326 Tb
-4.7188 -2.3304 -2.1954 Tb
-5.0909 -5.5702 2.0813 Hf
-3.7012 1.8274 1.0558 Hf
-3.8579 0.2635 3.1475 Se
-4.2525 -3.0703 7.5345 Se
-4.9342 -4.0063 -0.0103 Se
-5.3080 -7.1640 4.1449 Se
-7.6541 -5.0557 2.2418 Se
-9.8301 -2.3804 4.0791 Se
-4.5838 -3.5507 3.6616 Se
-6.7729 -0.8593 5.5100 Se
-6.2614 2.3321 1.2091 Se
-4.2083 -0.1920 -0.5244 Se
-1.1380 1.3129 0.8954 Se
-3.2042 3.8532 2.6400 Se
```

Computed properties:
- Space group: Pmmn, No. 59
- E_tot: -5.531 eV/atom



Below is a geometry-optimized Ho5Zn4Ga structure, with properties calculated at the PBE-GGA level.

```
Ho5Zn4Ga
1.0
3.5511 0.0000 0.0000
0.0000 3.5511 0.0000
0.0000 0.0000 17.8022
Ho Zn Ga
5 4 1
Cartesian
1.7755 1.7755 1.7994 Ho
1.7755 1.7755 5.3504 Ho
1.7755 1.7755 8.9011 Ho
1.7755 1.7755 12.4519 Ho
1.7755 1.7755 16.0028 Ho
0.0000 0.0000 3.5963 Zn
0.0000 0.0000 7.1141 Zn
0.0000 0.0000 10.6881 Zn
0.0000 0.0000 14.2059 Zn
0.0000 0.0000 0.0000 Ga
```

Computed properties:
- Energy of formation: -3.94 eV/f.u.
- Space group: P4/mmm, No. 123



Below is a geometry-optimized AsPtW2 structure, with properties calculated at the PBE-GGA level.

```
AsPtW2
1.0
-5.2106 1.3171 2.1745
1.0549 -3.3918 4.5821
0.1125 3.2368 6.0379
As W Pt
2 4 2
Cartesian
-2.0778 -1.0374 3.3783 As
-0.4552 -0.5962 6.9992 As
-3.1261 1.2159 3.4536 W
0.0656 -1.1535 4.6328 W
-1.4800 1.6688 7.0362 W
-3.5459 0.5930 10.4664 W
0.0000 0.0000 0.0000 Pt
-3.5879 1.7583 5.7954 Pt
```

Computed properties:
- Energy of formation: 4.04 eV/f.u.
- Space group: I-42d, No. 122



Below is a geometry-optimized AsRu2 structure, with properties calculated at the PBE-GGA level.

```
AsRu2
1.0
1.9167 -4.7809 -0.1484
-3.1825 -4.0453 -0.2435
-0.3188 -2.7703 -4.3332
As Ru
2 4
Cartesian
-0.7923 -5.7982 -2.3625 As
-1.1884 -8.6973 -3.5438 As
0.7603 -3.8400 -0.6648 Ru
-1.7893 -3.4722 -0.7124 Ru
-0.3575 -2.8347 -2.7572 Ru
-0.1981 -1.4496 -0.5906 Ru
```

Computed properties:
- Energy of formation: 2.10 eV/f.u.
- Space group: Fd-3m, No. 227